# 1
VASP calculation (GGA-PBE) on a geometry-optimized Na2CaPb structure.

a = 4.682 Å, b = 4.682 Å, c = 12.641 Å
α = 79.33°, β = 79.33°, γ = 90.00°
Atoms (fractional coordinates):
Pb 0.000 0.000 0.000
Pb 0.750 0.250 0.500
Na 0.656 0.125 0.250
Na 0.094 0.625 0.250
Na 0.375 0.344 0.750
Na 0.875 0.906 0.750
Ca 0.500 0.500 0.000
Ca 0.250 0.750 0.500

Properties
formation energy from the elements: -0.081 eV per atom
symmetry: I-42d, No. 122

# 2
VASP calculation (GGA-PBE) on a geometry-optimized LiScS3 structure.

a = 4.401 Å, b = 4.401 Å, c = 4.401 Å
α = 90.00°, β = 90.00°, γ = 90.00°
Atoms (fractional coordinates):
Sc 0.500 0.500 0.500
S 0.000 0.500 0.000
S 0.000 0.000 0.500
S 0.500 0.000 0.000
Li 0.000 0.000 0.000

Properties
ΔE_f (raw): -0.36 eV per atom
relative energy among the computed polymorphs: 394 meV/atom
symmetry: Pm-3m, No. 221

# 3
VASP calculation (GGA-PBE) on a geometry-optimized Ac3IrPtRh structure.

a = 4.234 Å, b = 8.492 Å, c = 10.207 Å
α = 116.05°, β = 90.00°, γ = 90.00°
Atoms (fractional coordinates):
Ac 0.750 0.939 0.131
Ac 0.250 0.061 0.869
Ac 0.250 0.703 0.506
Ac 0.750 0.297 0.494
Ac 0.750 0.466 0.149
Ac 0.250 0.534 0.851
Ir 0.250 0.741 0.196
Ir 0.750 0.259 0.804
Pt 0.250 0.104 0.589
Pt 0.750 0.896 0.411
Rh 0.250 0.274 0.251
Rh 0.750 0.726 0.749

Properties
formation energy from the elements: -0.619 eV per atom
symmetry: P2_1/m, No. 11

no.,total magnetization (μB per atom),E (eV per formula unit)
1,0.000,-8.67
2,0.000,-22.41
3,0.000,-38.29